Entry 1:
Computed, not measured: an optimized crystal structure of NdScCd at the PBE level of DFT.

```
NdScCd
1.0
0.0000 3.4893 3.4893
3.4893 0.0000 3.4893
3.4893 3.4893 0.0000
Cd Sc Nd
1 1 1
Direct
0.2500 0.2500 0.2500 Cd
0.0000 0.0000 0.0000 Sc
0.7500 0.7500 0.7500 Nd
```

Computed properties:
final energy = -10.9 eV/cell
space-group type = F-43m
M_tot = 0.004 μB per atom



Entry 2:
Computed, not measured: an optimized crystal structure of TmLuTl at the PBE level of DFT.

```
TmLuTl
1.0
0.0000 3.5860 3.5860
3.5860 0.0000 3.5860
3.5860 3.5860 0.0000
Tl Tm Lu
1 1 1
Direct
0.0000 0.0000 0.0000 Tl
0.7500 0.7500 0.7500 Tm
0.2500 0.2500 0.2500 Lu
```

Computed properties:
space-group type = F-43m
M_tot = 0.003 μB per atom
energy above the most stable polymorph in this dataset = 0.0 meV per atom



Entry 3:
Computed, not measured: an optimized crystal structure of NdDy2Cd3AgAu2 at the PBE level of DFT.

```
NdDy2Cd3AgAu2
1.0
-2.6384 -0.7609 -2.7443
2.7132 -7.4161 -0.5522
-5.8014 1.7713 5.0863
Dy Cd Nd Ag Au
2 3 1 1 2
Direct
0.0000 0.0002 0.4082 Dy
0.0000 0.4082 0.0002 Dy
0.5000 0.7394 0.0026 Cd
0.5000 0.2587 0.2587 Cd
0.5000 0.0026 0.7394 Cd
0.0000 0.5929 0.5929 Nd
0.0000 0.0020 0.0020 Ag
0.5000 0.3281 0.6680 Au
0.5000 0.6680 0.3281 Au
```

Computed properties:
final energy = -31.2 eV/cell
space-group type = Amm2
M_tot = 0.001 μB per atom



Entry 4:
Computed, not measured: an optimized crystal structure of TbTmNi2Pb at the PBE level of DFT.

```
TbTmNi2Pb
1.0
-3.4542 -0.6624 -1.0213
-0.0155 -6.1701 4.0542
-1.2860 -3.2897 6.4831
Pb Ni Tb Tm
1 2 1 1
Direct
0.0000 0.9985 0.9985 Pb
0.0000 0.2019 0.2019 Ni
0.0000 0.8006 0.8006 Ni
0.5000 0.6400 0.6400 Tb
0.5000 0.3590 0.3590 Tm
```

Computed properties:
final energy = -26.6 eV/cell
space-group type = Amm2
M_tot = 0.000 μB per atom



Entry 5:
Computed, not measured: an optimized crystal structure of MgNbAgPd at the PBE level of DFT.

```
MgNbAgPd
1.0
3.1843 -2.0984 2.5011
-0.2736 -4.4923 0.7372
2.9732 -2.8237 -1.9965
Nb Ag Pd Mg
1 1 1 1
Direct
0.5000 0.5000 0.5000 Nb
0.0000 0.0000 0.0000 Ag
0.2500 0.2500 0.2500 Pd
0.7500 0.7500 0.7500 Mg
```

Computed properties:
space-group type = F-43m
M_tot = 0.000 μB per atom
energy above the most stable polymorph in this dataset = 79.1 meV per atom



Entry 6:
Computed, not measured: an optimized crystal structure of GdMgZn at the PBE level of DFT.

```
GdMgZn
1.0
-2.3539 -3.9659 -4.4846
-1.0892 -6.3745 1.2382
-6.8849 2.6476 2.3925
Gd Mg Zn
4 4 4
Direct
0.8008 0.8477 0.2643 Gd
0.6386 0.0938 0.8280 Gd
0.3317 0.7666 0.2063 Gd
0.1117 0.2952 0.5529 Gd
0.8350 0.2933 0.1812 Mg
0.1653 0.7724 0.6154 Mg
0.6716 0.5789 0.8659 Mg
0.2982 0.3054 0.1800 Mg
0.1106 0.5919 0.9052 Zn
0.5973 0.3313 0.4963 Zn
0.6061 0.7526 0.5474 Zn
0.1620 0.0867 0.8949 Zn
```

Computed properties:
final energy = -31.7 eV/cell
space-group type = P1
M_tot = 0.001 μB per atom



The highest M_tot belongs to which entry? NdScCd



What is the formula in the sixth record? GdMgZn



Number 5 is which compound? MgNbAgPd